Entry 1:
Below is a geometry-optimized Sc2TlAs structure, with properties calculated at the PBE-GGA level.

Cell and atoms, written as POSCAR:
```
Sc2TlAs
1.0
-8.1432 6.0530 1.6706
-6.5747 6.4129 4.6247
-5.6883 8.3284 2.0054
Sc As Tl
2 1 1
Direct
0.9136 0.9136 0.9136 Sc
0.0864 0.0864 0.0864 Sc
0.0000 0.0000 0.0000 As
0.5000 0.5000 0.5000 Tl
```

Properties
Symmetry = No. 166
Raw total energy = -4.962 eV/atom
Distance to the lowest polymorph of the same formula = 0.756 eV per atom
Fermi-level density of states = 3.5 states/eV/f.u.
Calculated volume = 99 Å³/f.u.

Entry 2:
Below is a geometry-optimized CsSmMg2Cl8 structure, with properties calculated at the PBE-GGA level.

Cell and atoms, written as POSCAR:
```
CsSmMg2Cl8
1.0
6.5539 0.9189 0.8786
0.9843 6.6747 1.0170
1.1959 1.4029 9.3262
Cl Sm Cs Mg
8 1 1 2
Direct
0.1828 0.7062 0.2300 Cl
0.2870 0.2342 0.9419 Cl
0.8172 0.2938 0.7700 Cl
0.7438 0.2278 0.2002 Cl
0.7130 0.7658 0.0581 Cl
0.6064 0.7014 0.4668 Cl
0.2562 0.7722 0.7998 Cl
0.3936 0.2986 0.5332 Cl
0.0000 0.0000 0.0000 Sm
0.0000 0.0000 0.5000 Cs
0.4629 0.4531 0.7075 Mg
0.5371 0.5469 0.2925 Mg
```

Properties
Symmetry = No. 2
Raw total energy = -3.938 eV/atom
Uncorrected formation energy = -1.977 eV/atom
Fermi-level density of states = 0.0 states/eV/f.u.
Calculated volume = 386 Å³/f.u.

Entry 3:
Below is a geometry-optimized PrMgAl3 structure, with properties calculated at the PBE-GGA level.

Cell and atoms, written as POSCAR:
```
PrMgAl3
1.0
4.4802 0.0000 0.0000
0.0000 3.9508 0.0000
0.0000 -1.9754 12.9060
Mg Al Pr
2 6 2
Direct
0.2500 0.7905 0.5809 Mg
0.7500 0.2095 0.4191 Mg
0.7500 0.3186 0.6372 Al
0.2500 0.4749 0.9497 Al
0.2500 0.6814 0.3628 Al
0.7500 0.6263 0.2526 Al
0.7500 0.5251 0.0503 Al
0.2500 0.3737 0.7474 Al
0.2500 0.0779 0.1559 Pr
0.7500 0.9221 0.8441 Pr
```

Properties
Symmetry = No. 63
Raw total energy = -3.770 eV/atom
Fermi-level density of states = 1.8 states/eV/f.u.
Calculated volume = 114 Å³/f.u.